# 1
# Er8SiSe3S4 | Alexandria via LeMat-Bulk | PBE | relaxed
# final energy: -6.053 eV/atom
# uncorrected formation energy: -1.75 eV per atom
# crystal system: trigonal
# magnetic moment: 0.0 μB/cell
data_Er8SiSe3S4
_chemical_formula_sum 'Er24 Si3 Se9 S12'
_cell_length_a 7.9283
_cell_length_b 7.9283
_cell_length_c 19.4277
_cell_angle_alpha 90.00
_cell_angle_beta 90.00
_cell_angle_gamma 120.00
_symmetry_space_group_name_H-M 'R -3 m'
_symmetry_Int_Tables_number 166
_symmetry_space_group_name_Hall '-R 3 2"'
loop_
_atom_site_label
_atom_site_fract_x
_atom_site_fract_y
_atom_site_fract_z
Er1 0.0000 0.0000 0.2415
Er2 0.0133 0.5066 0.7536
Si1 0.0000 0.0000 0.0000
Se1 0.0000 0.5000 0.0000
S1 0.0000 0.0000 0.5000
S2 0.0000 0.5000 0.5000



# 2
# YAlPt2Se | Alexandria via LeMat-Bulk | PBE | relaxed
# final energy: -5.133 eV/atom
# uncorrected formation energy: 0.02 eV per atom
# crystal system: tetragonal
# magnetic moment: 0.0 μB/cell
data_YAlPt2Se
_chemical_formula_sum 'Y1 Al1 Pt2 Se1'
_cell_length_a 4.805
_cell_length_b 4.805
_cell_length_c 4.842
_cell_angle_alpha 90.00
_cell_angle_beta 90.00
_cell_angle_gamma 90.00
_symmetry_space_group_name_H-M 'P 4/m m m'
_symmetry_Int_Tables_number 123
_symmetry_space_group_name_Hall '-P 4 2'
loop_
_atom_site_label
_atom_site_fract_x
_atom_site_fract_y
_atom_site_fract_z
Y1 0.000 0.000 0.000
Al1 0.500 0.500 0.000
Pt1 0.000 0.500 0.500
Se1 0.500 0.500 0.500



# 3
# ScCdSiNi2 | Alexandria via LeMat-Bulk | PBE | relaxed
# final energy: -4.709 eV/atom
# uncorrected formation energy: 0.14 eV per atom
# crystal system: tetragonal
# magnetic moment: 0.0 μB/cell
data_ScCdSiNi2
_chemical_formula_sum 'Sc1 Cd1 Si1 Ni2'
_cell_length_a 4.336
_cell_length_b 4.336
_cell_length_c 4.913
_cell_angle_alpha 90.00
_cell_angle_beta 90.00
_cell_angle_gamma 90.00
_symmetry_space_group_name_H-M 'P 4/m m m'
_symmetry_Int_Tables_number 123
_symmetry_space_group_name_Hall '-P 4 2'
loop_
_atom_site_label
_atom_site_fract_x
_atom_site_fract_y
_atom_site_fract_z
Sc1 0.000 0.000 0.000
Cd1 0.500 0.500 0.000
Si1 0.000 0.000 0.500
Ni1 0.000 0.500 0.500



# 4
# Tl16CdPb12 | Alexandria via LeMat-Bulk | PBE | relaxed
# final energy: -2.864 eV/atom
# crystal system: monoclinic
# magnetic moment: 0.0 μB/cell
data_Tl16CdPb12
_chemical_formula_sum 'Tl32 Cd2 Pb24'
_cell_length_a 12.266
_cell_length_b 17.397
_cell_length_c 10.580
_cell_angle_alpha 90.00
_cell_angle_beta 125.26
_cell_angle_gamma 90.00
_symmetry_space_group_name_H-M 'C 1 m 1'
_symmetry_Int_Tables_number 8
loop_
_symmetry_equiv_pos_as_xyz
'x,y,z'
'x,-y,z'
'x+1/2,y+1/2,z'
'x+1/2,-y+1/2,z'
loop_
_atom_site_label
_atom_site_fract_x
_atom_site_fract_y
_atom_site_fract_z
Tl1 0.000 0.000 0.000
Tl2 0.001 0.000 0.649
Tl3 0.066 0.345 0.058
Tl4 0.145 0.500 0.300
Tl5 0.159 0.157 0.243
Tl6 0.177 0.174 0.651
Tl7 0.188 0.500 0.933
Tl8 0.297 0.296 0.962
Tl9 0.452 0.140 0.647
Tl10 0.487 0.204 0.340
Cd1 0.411 0.000 0.370
Pb1 0.006 0.187 0.842
Pb2 0.199 0.000 0.461
Pb3 0.216 0.409 0.650
Pb4 0.285 0.094 0.033
Pb5 0.313 0.313 0.459
Pb6 0.374 0.000 0.834
Pb7 0.409 0.405 0.278



# 5
# Cs2NaPb3O8 | Alexandria via LeMat-Bulk | PBE | relaxed
# final energy: -4.868 eV/atom
# uncorrected formation energy: -1.02 eV per atom
# crystal system: trigonal
# magnetic moment: 3.5 μB/cell
data_Cs2NaPb3O8
_chemical_formula_sum 'Cs6 Na3 Pb9 O24'
_cell_length_a 6.8374
_cell_length_b 6.8374
_cell_length_c 22.0367
_cell_angle_alpha 90.00
_cell_angle_beta 90.00
_cell_angle_gamma 120.00
_symmetry_space_group_name_H-M 'R 3 m'
_symmetry_Int_Tables_number 160
_symmetry_space_group_name_Hall 'R 3 -2"'
loop_
_atom_site_label
_atom_site_fract_x
_atom_site_fract_y
_atom_site_fract_z
Cs1 0.0000 0.0000 0.0000
Cs2 0.0000 0.0000 0.3541
Na1 0.0000 0.0000 0.8379
Pb1 0.1670 0.3341 0.1887
O1 0.0000 0.0000 0.1351
O2 0.0000 0.0000 0.5756
O3 0.0360 0.5180 0.1343
O4 0.1750 0.3500 0.9042



# 6
# Ac2BeInO6 | Alexandria via LeMat-Bulk | PBE | relaxed
# final energy: -6.843 eV/atom
# uncorrected formation energy: -2.40 eV per atom
# crystal system: orthorhombic
# magnetic moment: 2.1 μB/cell
data_Ac2BeInO6
_chemical_formula_sum 'Ac4 Be2 In2 O12'
_cell_length_a 5.764
_cell_length_b 7.516
_cell_length_c 6.141
_cell_angle_alpha 90.00
_cell_angle_beta 90.00
_cell_angle_gamma 90.00
_symmetry_space_group_name_H-M 'P m m n'
_symmetry_Int_Tables_number 59
loop_
_symmetry_equiv_pos_as_xyz
'x,y,z'
'-x,-y,-z'
'-x+1/2,-y+1/2,z'
'x+1/2,y+1/2,-z'
'x+1/2,-y,-z'
'-x+1/2,y,z'
'-x,y+1/2,-z'
'x,-y+1/2,z'
loop_
_atom_site_label
_atom_site_fract_x
_atom_site_fract_y
_atom_site_fract_z
Ac1 0.250 0.006 0.203
Be1 0.250 0.750 0.672
In1 0.250 0.250 0.710
O1 0.007 0.250 0.970
O2 0.007 0.750 0.530
O3 0.250 0.540 0.781



# 7
# Rb2ScU2S6 | Alexandria via LeMat-Bulk | PBE | relaxed
# final energy: -6.592 eV/atom
# uncorrected formation energy: -1.54 eV per atom
# crystal system: monoclinic
# magnetic moment: 10.0 μB/cell
data_Rb2ScU2S6
_chemical_formula_sum 'Rb4 Sc2 U4 S12'
_cell_length_a 6.850
_cell_length_b 11.812
_cell_length_c 8.203
_cell_angle_alpha 90.00
_cell_angle_beta 105.99
_cell_angle_gamma 90.00
_symmetry_space_group_name_H-M 'C 1 2/m 1'
_symmetry_Int_Tables_number 12
loop_
_symmetry_equiv_pos_as_xyz
'x,y,z'
'-x,-y,-z'
'-x,y,-z'
'x,-y,z'
'x+1/2,y+1/2,z'
'-x+1/2,-y+1/2,-z'
'-x+1/2,y+1/2,-z'
'x+1/2,-y+1/2,z'
loop_
_atom_site_label
_atom_site_fract_x
_atom_site_fract_y
_atom_site_fract_z
Rb1 0.000 0.167 0.000
Sc1 0.000 0.000 0.500
U1 0.000 0.334 0.500
S1 0.223 0.162 0.684
S2 0.240 0.500 0.684



# 8
# Ca3Sb2 | Alexandria via LeMat-Bulk | PBE | relaxed
# final energy: -3.782 eV/atom
# uncorrected formation energy: -0.93 eV per atom
# crystal system: trigonal
# magnetic moment: 0.0 μB/cell
data_Ca3Sb2
_chemical_formula_sum 'Ca18 Sb12'
_cell_length_a 8.0793
_cell_length_b 8.0793
_cell_length_c 19.9809
_cell_angle_alpha 90.00
_cell_angle_beta 90.00
_cell_angle_gamma 120.00
_symmetry_space_group_name_H-M 'R -3 c'
_symmetry_Int_Tables_number 167
_symmetry_space_group_name_Hall '-R 3 2"c'
loop_
_atom_site_label
_atom_site_fract_x
_atom_site_fract_y
_atom_site_fract_z
Ca1 0.0000 0.2829 0.2500
Sb1 0.0000 0.0000 0.1379



# 9
# Er2Al3Zn2 | Alexandria via LeMat-Bulk | PBE | relaxed
# final energy: -3.657 eV/atom
# crystal system: orthorhombic
# magnetic moment: 0.0 μB/cell
data_Er2Al3Zn2
_chemical_formula_sum 'Er8 Al12 Zn8'
_cell_length_a 4.349
_cell_length_b 18.740
_cell_length_c 6.908
_cell_angle_alpha 90.00
_cell_angle_beta 90.00
_cell_angle_gamma 90.00
_symmetry_space_group_name_H-M 'C m c m'
_symmetry_Int_Tables_number 63
_symmetry_space_group_name_Hall '-C 2c 2'
loop_
_atom_site_label
_atom_site_fract_x
_atom_site_fract_y
_atom_site_fract_z
Er1 0.000 0.046 0.250
Er2 0.000 0.158 0.750
Al1 0.000 0.221 0.250
Al2 0.000 0.438 0.067
Zn1 0.000 0.312 0.561



# 10
# TmIn3I6 | Alexandria via LeMat-Bulk | PBE | relaxed
# final energy: -3.016 eV/atom
# uncorrected formation energy: -0.82 eV per atom
# crystal system: monoclinic
# magnetic moment: 0.0 μB/cell
data_TmIn3I6
_chemical_formula_sum 'Tm2 In6 I12'
_cell_length_a 8.057
_cell_length_b 9.151
_cell_length_c 13.758
_cell_angle_alpha 90.00
_cell_angle_beta 120.80
_cell_angle_gamma 90.00
_symmetry_space_group_name_H-M 'P 1 21/c 1'
_symmetry_Int_Tables_number 14
loop_
_symmetry_equiv_pos_as_xyz
'x,y,z'
'-x,-y,-z'
'-x,y+1/2,-z+1/2'
'x,-y+1/2,z+1/2'
loop_
_atom_site_label
_atom_site_fract_x
_atom_site_fract_y
_atom_site_fract_z
Tm1 0.000 0.000 0.000
In1 0.315 0.099 0.779
In2 0.500 0.000 0.500
I1 0.088 0.061 0.236
I2 0.233 0.722 0.079
I3 0.356 0.165 0.047



# 11
# Re2SiTe | Alexandria via LeMat-Bulk | PBE | relaxed
# final energy: -7.437 eV/atom
# uncorrected formation energy: 0.93 eV per atom
# crystal system: monoclinic
# magnetic moment: 0.0 μB/cell
data_Re2SiTe
_chemical_formula_sum 'Re4 Si2 Te2'
_cell_length_a 5.991
_cell_length_b 8.396
_cell_length_c 3.040
_cell_angle_alpha 90.00
_cell_angle_beta 118.34
_cell_angle_gamma 90.00
_symmetry_space_group_name_H-M 'C 1 2/m 1'
_symmetry_Int_Tables_number 12
loop_
_symmetry_equiv_pos_as_xyz
'x,y,z'
'-x,-y,-z'
'-x,y,-z'
'x,-y,z'
'x+1/2,y+1/2,z'
'-x+1/2,-y+1/2,-z'
'-x+1/2,y+1/2,-z'
'x+1/2,-y+1/2,z'
loop_
_atom_site_label
_atom_site_fract_x
_atom_site_fract_y
_atom_site_fract_z
Re1 0.250 0.250 0.000
Si1 0.000 0.000 0.500
Te1 0.000 0.500 0.500



# 12
# RbSrBPb2 | Alexandria via LeMat-Bulk | PBE | relaxed
# final energy: -1.525 eV/atom
# crystal system: tetragonal
# magnetic moment: 0.0 μB/cell
data_RbSrBPb2
_chemical_formula_sum 'Rb1 Sr1 B1 Pb2'
_cell_length_a 6.126
_cell_length_b 6.126
_cell_length_c 6.338
_cell_angle_alpha 90.00
_cell_angle_beta 90.00
_cell_angle_gamma 90.00
_symmetry_space_group_name_H-M 'P 4/m m m'
_symmetry_Int_Tables_number 123
_symmetry_space_group_name_Hall '-P 4 2'
loop_
_atom_site_label
_atom_site_fract_x
_atom_site_fract_y
_atom_site_fract_z
Rb1 0.000 0.000 0.000
Sr1 0.000 0.000 0.500
B1 0.500 0.500 0.500
Pb1 0.000 0.500 0.000